No. 1
Zr4Nb2Au3C3 GGA-PBE optimized geometry; space-group type = C2/c
1.0
4.937 -2.849 0.000
4.937 2.849 0.000
-3.319 0.000 14.113
Zr Nb Au C
8 4 6 6
direct
0.037 0.194 0.095
0.129 0.302 0.405
0.194 0.037 0.595
0.302 0.129 0.905
0.698 0.871 0.095
0.806 0.963 0.405
0.871 0.698 0.595
0.963 0.806 0.905
0.354 0.526 0.078
0.474 0.646 0.422
0.526 0.354 0.578
0.646 0.474 0.922
0.117 0.883 0.250
0.284 0.417 0.751
0.417 0.284 0.251
0.583 0.716 0.749
0.716 0.583 0.249
0.883 0.117 0.750
0.000 0.500 0.000
0.172 0.664 0.500
0.336 0.828 0.000
0.500 0.000 0.500
0.664 0.172 0.000
0.828 0.336 0.500


No. 2
Ta4NiAuC2 GGA-PBE optimized geometry; space-group type = P-6m2
1.0
3.119 0.000 0.000
-1.560 2.701 0.000
0.000 0.000 13.511
Ta Ni Au C
4 1 1 2
direct
0.000 0.000 0.147
0.000 0.000 0.853
0.333 0.667 0.330
0.333 0.667 0.670
0.333 0.667 0.000
0.000 0.000 0.500
0.667 0.333 0.239
0.667 0.333 0.761


The following total DFT energy (no corrections) values (in eV per cell) correspond, in order, to the records above: -197.84 -77.82.
The following ρ values (in g/cm³) correspond, in order, to the records above: 9.85 14.64.